{"formula": "GdDy2Mg3CdHg2", "functional": "PBE", "state": "relaxed", "dft_energy_ev_per_cell": -23.2, "space_group": "Amm2 (38)", "lattice": [[-0.586, -3.202, 3.327], [-0.990, -5.238, -5.216], [6.821, 1.482, 2.627]], "species": ["Cd", "Dy", "Dy", "Gd", "Hg", "Hg", "Mg", "Mg", "Mg"], "frac_coords": [[0.000, 0.003, 0.003], [0.000, 0.999, 0.425], [0.000, 0.425, 0.999], [0.000, 0.574, 0.574], [0.500, 0.667, 0.331], [0.500, 0.331, 0.667], [0.500, 0.758, 0.000], [0.500, 0.243, 0.243], [0.500, 0.000, 0.758]]}